Entry 1:
A geometry-optimized La2NdSm8 structure, computed with PBE-GGA.

Results
Energy of formation   19 meV per atom
Total DFT energy (no corrections)   -52.17 eV per cell
M_tot   0.00 Bohr magnetons per cell
Polymorph energy (0 for the lowest one)   0.0 meV/atom

POSCAR file:
```
La2NdSm8
1.0
9.3098 -2.5879 0.0000
9.3098 2.5879 0.0000
-2.1528 0.0000 7.8957
La Nd Sm
2 1 8
Direct
0.2272 0.2272 0.1367
0.7728 0.7728 0.8633
0.5000 0.5000 0.5000
0.0441 0.0441 0.2269
0.1356 0.1356 0.6781
0.3188 0.3188 0.5929
0.4100 0.4100 0.0454
0.5900 0.5900 0.9546
0.6812 0.6812 0.4071
0.8644 0.8644 0.3219
0.9559 0.9559 0.7731
```

Entry 2:
A geometry-optimized La2Nd7Sm3 structure, computed with PBE-GGA.

Results
Energy of formation   66 meV per atom
Total DFT energy (no corrections)   -56.59 eV per cell
M_tot   0.00 Bohr magnetons per cell
Polymorph energy (0 for the lowest one)   0.0 meV/atom

POSCAR file:
```
La2Nd7Sm3
1.0
6.5506 0.0000 0.0000
0.0000 3.6176 0.0000
-1.9134 0.0000 17.9244
La Nd Sm
2 7 3
Direct
0.0583 0.0000 0.1697
0.9417 0.0000 0.8303
0.0000 0.5000 0.5000
0.2275 0.0000 0.6672
0.2572 0.0000 0.9979
0.2761 0.5000 0.3357
0.7239 0.5000 0.6643
0.7428 0.0000 0.0021
0.7725 0.0000 0.3328
0.4534 0.5000 0.8402
0.5000 0.0000 0.5000
0.5466 0.5000 0.1598
```

Entry 3:
A geometry-optimized La2Nd12Sm5 structure, computed with PBE-GGA.

Results
Energy of formation   91 meV per atom
Total DFT energy (no corrections)   -88.93 eV per cell
M_tot   0.00 Bohr magnetons per cell
Polymorph energy (0 for the lowest one)   0.0 meV/atom

POSCAR file:
```
La2Nd12Sm5
1.0
9.1500 -5.9423 0.0000
9.1500 5.9423 0.0000
-1.4132 0.0000 6.1587
La Nd Sm
2 12 5
Direct
0.2235 0.7765 0.0000
0.7765 0.2235 0.0000
0.0565 0.5426 0.7956
0.1237 0.1237 0.9925
0.1498 0.6444 0.3851
0.3556 0.8502 0.6149
0.4439 0.4439 0.7234
0.4574 0.9435 0.2044
0.5426 0.0565 0.7956
0.5561 0.5561 0.2766
0.6444 0.1498 0.3851
0.8502 0.3556 0.6149
0.8763 0.8763 0.0075
0.9435 0.4574 0.2044
0.0000 0.0000 0.5000
0.2129 0.2129 0.5453
0.3239 0.3239 0.1424
0.6761 0.6761 0.8576
0.7871 0.7871 0.4547
```

Entry 4:
A geometry-optimized La9Nd2Sm3 structure, computed with PBE-GGA.

Results
Energy of formation   200 meV per atom
Total DFT energy (no corrections)   -130.48 eV per cell
M_tot   0.00 Bohr magnetons per cell

POSCAR file:
```
La9Nd2Sm3
1.0
9.1381 0.0000 0.0000
-4.5691 7.9138 0.0000
0.0000 0.0000 14.0498
La Nd Sm
18 4 6
Direct
0.0787 0.5412 0.2500
0.1296 0.7566 0.0417
0.1296 0.7566 0.4583
0.2434 0.3730 0.0417
0.2434 0.3730 0.4583
0.3730 0.1296 0.5417
0.3730 0.1296 0.9583
0.4588 0.5374 0.2500
0.4626 0.9213 0.2500
0.5374 0.0787 0.7500
0.5412 0.4626 0.7500
0.6270 0.8704 0.0417
0.6270 0.8704 0.4583
0.7566 0.6270 0.5417
0.7566 0.6270 0.9583
0.8704 0.2434 0.5417
0.8704 0.2434 0.9583
0.9213 0.4588 0.7500
0.3333 0.6667 0.6350
0.3333 0.6667 0.8650
0.6667 0.3333 0.1350
0.6667 0.3333 0.3650
0.1079 0.8580 0.7500
0.1420 0.2499 0.7500
0.2499 0.1079 0.2500
0.7501 0.8921 0.7500
0.8580 0.7501 0.2500
0.8921 0.1420 0.2500
```

Entry 5:
A geometry-optimized La3Nd2Sm3 structure, computed with PBE-GGA.

Results
Energy of formation   17 meV per atom
Total DFT energy (no corrections)   -38.34 eV per cell
M_tot   0.00 Bohr magnetons per cell

POSCAR file:
```
La3Nd2Sm3
1.0
-2.5969 2.6075 10.4460
2.5969 -2.6075 10.4460
2.5969 2.6075 -10.4460
La Nd Sm
3 2 3
Direct
0.0000 0.0000 0.0000
0.3761 0.8761 0.5000
0.6239 0.1239 0.5000
0.2492 0.2492 0.0000
0.7508 0.7508 0.0000
0.1263 0.6263 0.5000
0.5000 0.5000 0.0000
0.8737 0.3737 0.5000
```

Entry 6:
A geometry-optimized LaNdSm5 structure, computed with PBE-GGA.

Results
Energy of formation   168 meV per atom
Total DFT energy (no corrections)   -64.23 eV per cell
M_tot   0.00 Bohr magnetons per cell
Polymorph energy (0 for the lowest one)   0.0 meV/atom

POSCAR file:
```
LaNdSm5
1.0
6.0257 -3.4769 0.0000
6.0257 3.4769 0.0000
-4.4228 0.0000 11.6231
La Nd Sm
2 2 10
Direct
0.0291 0.9709 0.7500
0.9709 0.0291 0.2500
0.0000 0.5000 0.0000
0.5000 0.0000 0.5000
0.1514 0.4098 0.7494
0.1966 0.6488 0.5005
0.3512 0.8034 0.9995
0.4092 0.5908 0.2500
0.4098 0.1514 0.2494
0.5902 0.8486 0.7506
0.5908 0.4092 0.7500
0.6488 0.1966 0.0005
0.8034 0.3512 0.4995
0.8486 0.5902 0.2506
```

Entry 7:
A geometry-optimized La2Nd3Sm4 structure, computed with PBE-GGA.

Results
Energy of formation   60 meV per atom
Total DFT energy (no corrections)   -42.50 eV per cell
M_tot   0.00 Bohr magnetons per cell
Polymorph energy (0 for the lowest one)   45.2 meV/atom

POSCAR file:
```
La2Nd3Sm4
1.0
3.6682 0.0000 0.0000
-1.8341 3.1767 0.0000
0.0000 0.0000 27.4048
La Nd Sm
2 3 4
Direct
0.0000 0.0000 0.0000
0.0000 0.0000 0.2239
0.0000 0.0000 0.7819
0.3333 0.6667 0.1146
0.3333 0.6667 0.4549
0.0000 0.0000 0.3501
0.0000 0.0000 0.5667
0.3333 0.6667 0.6722
0.3333 0.6667 0.8897
```

Entry 8:
A geometry-optimized LaNdSm2 structure, computed with PBE-GGA.

Results
Energy of formation   125 meV per atom
Total DFT energy (no corrections)   -18.63 eV per cell
M_tot   0.00 Bohr magnetons per cell
Polymorph energy (0 for the lowest one)   129.9 meV/atom

POSCAR file:
```
LaNdSm2
1.0
0.0000 4.1280 4.1280
4.1280 0.0000 4.1280
4.1280 4.1280 0.0000
La Nd Sm
1 1 2
Direct
0.0000 0.0000 0.0000
0.5000 0.5000 0.5000
0.2500 0.2500 0.2500
0.7500 0.7500 0.7500
```

Entry 9:
A geometry-optimized La4NdSm5 structure, computed with PBE-GGA.

Results
Energy of formation   154 meV per atom
Total DFT energy (no corrections)   -46.54 eV per cell
M_tot   0.00 Bohr magnetons per cell
Polymorph energy (0 for the lowest one)   0.0 meV/atom

POSCAR file:
```
La4NdSm5
1.0
5.9618 -2.8326 0.0000
5.9618 2.8326 0.0000
-0.0265 0.0000 10.6897
La Nd Sm
4 1 5
Direct
0.0514 0.0514 0.2515
0.3265 0.3265 0.2502
0.6735 0.6735 0.7498
0.9486 0.9486 0.7485
0.5000 0.5000 0.0000
0.1966 0.1966 0.9344
0.1980 0.1980 0.5665
0.5000 0.5000 0.5000
0.8020 0.8020 0.4335
0.8034 0.8034 0.0656
```

Entry 10:
A geometry-optimized La7NdSm3 structure, computed with PBE-GGA.

Results
Energy of formation   163 meV per atom
Total DFT energy (no corrections)   -51.63 eV per cell
M_tot   0.00 Bohr magnetons per cell

POSCAR file:
```
La7NdSm3
1.0
6.3661 -3.6778 0.0000
6.3661 3.6778 0.0000
-0.0147 0.0000 8.7608
La Nd Sm
7 1 3
Direct
0.0000 0.0000 0.0000
0.9996 0.5048 0.0008
0.1645 0.6693 0.6466
0.5011 0.5011 0.9782
0.5048 0.9996 0.0008
0.6693 0.1645 0.6466
0.6689 0.6689 0.6475
0.1679 0.1679 0.6667
0.3346 0.3346 0.3235
0.3346 0.8344 0.3235
0.8344 0.3346 0.3235
```

Entry 11:
A geometry-optimized La5Nd5Sm structure, computed with PBE-GGA.

Results
Energy of formation   124 meV per atom
Total DFT energy (no corrections)   -51.83 eV per cell
M_tot   0.00 Bohr magnetons per cell
Polymorph energy (0 for the lowest one)   0.0 meV/atom

POSCAR file:
```
La5Nd5Sm
1.0
7.1341 0.0000 0.0000
2.3863 6.7263 0.0000
2.0514 1.6222 8.4072
La Nd Sm
5 5 1
Direct
0.0000 0.0000 0.0000
0.3213 0.7944 0.6410
0.3638 0.2544 0.7379
0.6362 0.7456 0.2621
0.6787 0.2056 0.3590
0.1440 0.6432 0.3562
0.2155 0.1477 0.2838
0.5000 0.5000 0.0000
0.7845 0.8523 0.7162
0.8560 0.3568 0.6438
0.0000 0.5000 0.0000
```

Entry 12:
A geometry-optimized La8NdSm2 structure, computed with PBE-GGA.

Results
Energy of formation   136 meV per atom
Total DFT energy (no corrections)   -52.13 eV per cell
M_tot   0.00 Bohr magnetons per cell
Polymorph energy (0 for the lowest one)   122.4 meV/atom

POSCAR file:
```
La8NdSm2
1.0
9.8423 -3.6047 0.0000
9.8423 3.6047 0.0000
-0.3370 0.0000 5.8409
La Nd Sm
8 1 2
Direct
0.0443 0.0443 0.2362
0.0983 0.6410 0.2672
0.3145 0.3145 0.7666
0.3590 0.9017 0.7328
0.6410 0.0983 0.2672
0.6855 0.6855 0.2334
0.9017 0.3590 0.7328
0.9557 0.9557 0.7638
0.5000 0.5000 0.0000
0.2168 0.2168 0.2580
0.7832 0.7832 0.7420
```

Entry 13:
A geometry-optimized La2Nd2Sm15 structure, computed with PBE-GGA.

Results
Energy of formation   249 meV per atom
Total DFT energy (no corrections)   -85.45 eV per cell
M_tot   0.00 Bohr magnetons per cell

POSCAR file:
```
La2Nd2Sm15
1.0
5.7168 3.3006 5.9832
-5.7168 3.3006 5.9832
0.0000 -6.6012 5.9832
La Nd Sm
2 2 15
Direct
0.1736 0.1736 0.1736
0.8264 0.8264 0.8264
0.4086 0.4086 0.4086
0.5914 0.5914 0.5914
0.0000 0.5000 0.5000
0.1287 0.1287 0.6518
0.1287 0.6518 0.1287
0.2025 0.5000 0.7975
0.2025 0.7975 0.5000
0.3482 0.8713 0.8713
0.5000 0.0000 0.5000
0.5000 0.2025 0.7975
0.5000 0.5000 0.0000
0.5000 0.7975 0.2025
0.6518 0.1287 0.1287
0.7975 0.2025 0.5000
0.7975 0.5000 0.2025
0.8713 0.3482 0.8713
0.8713 0.8713 0.3482
```

Entry 14:
A geometry-optimized LaNd3Sm3 structure, computed with PBE-GGA.

Results
Energy of formation   222 meV per atom
Total DFT energy (no corrections)   -31.83 eV per cell
M_tot   0.00 Bohr magnetons per cell
Polymorph energy (0 for the lowest one)   9.9 meV/atom

POSCAR file:
```
LaNd3Sm3
1.0
5.3728 3.1020 2.4451
-5.3728 3.1020 2.4451
0.0000 -6.2040 2.4451
La Nd Sm
1 3 3
Direct
0.0000 0.0000 0.0000
0.5228 0.9528 0.9528
0.9528 0.5228 0.9528
0.9528 0.9528 0.5228
0.1048 0.4732 0.4732
0.4732 0.1048 0.4732
0.4732 0.4732 0.1048
```

Entry 15:
A geometry-optimized LaNd12Sm7 structure, computed with PBE-GGA.

Results
Energy of formation   208 meV per atom
Total DFT energy (no corrections)   -91.01 eV per cell
M_tot   0.00 Bohr magnetons per cell

POSCAR file:
```
LaNd12Sm7
1.0
8.6371 4.9867 2.7571
-8.6371 4.9867 2.7571
0.0000 -9.9733 2.7571
La Nd Sm
1 12 7
Direct
0.0000 0.0000 0.0000
0.0413 0.3576 0.3576
0.2135 0.5000 0.7865
0.2135 0.7865 0.5000
0.3576 0.0413 0.3576
0.3576 0.3576 0.0413
0.5000 0.2135 0.7865
0.5000 0.7865 0.2135
0.6424 0.6424 0.9587
0.6424 0.9587 0.6424
0.7865 0.2135 0.5000
0.7865 0.5000 0.2135
0.9587 0.6424 0.6424
0.0666 0.0666 0.4085
0.0666 0.4085 0.0666
0.4085 0.0666 0.0666
0.5000 0.5000 0.5000
0.5915 0.9334 0.9334
0.9334 0.5915 0.9334
0.9334 0.9334 0.5915
```

Entry 16:
A geometry-optimized La3Nd6Sm2 structure, computed with PBE-GGA.

Results
Energy of formation   17 meV per atom
Total DFT energy (no corrections)   -52.65 eV per cell
M_tot   0.00 Bohr magnetons per cell
Polymorph energy (0 for the lowest one)   0.0 meV/atom

POSCAR file:
```
La3Nd6Sm2
1.0
6.4092 0.0000 0.0000
-1.0327 8.1792 0.0000
-2.1256 -2.7606 7.4741
La Nd Sm
3 6 2
Direct
0.0000 0.0000 0.0000
0.0914 0.8174 0.3626
0.9086 0.1826 0.6374
0.1826 0.6369 0.7289
0.3633 0.2761 0.4547
0.4538 0.0925 0.8188
0.5462 0.9075 0.1812
0.6367 0.7239 0.5453
0.8174 0.3631 0.2711
0.2737 0.4568 0.0907
0.7263 0.5432 0.9093
```

Entry 17:
A geometry-optimized LaNd2Sm7 structure, computed with PBE-GGA.

Results
Energy of formation   157 meV per atom
Total DFT energy (no corrections)   -45.93 eV per cell
M_tot   0.00 Bohr magnetons per cell
Polymorph energy (0 for the lowest one)   0.0 meV/atom

POSCAR file:
```
LaNd2Sm7
1.0
6.5383 0.0000 0.0000
0.2571 6.8317 0.0000
2.8200 1.5345 7.8532
La Nd Sm
1 2 7
Direct
0.0000 0.0000 0.0000
0.1605 0.6352 0.3062
0.8395 0.3648 0.6938
0.0263 0.1654 0.3250
0.2895 0.5168 0.8968
0.3998 0.2367 0.5507
0.5000 0.0000 0.0000
0.6002 0.7633 0.4493
0.7105 0.4832 0.1032
0.9737 0.8346 0.6750
```

Entry 18:
A geometry-optimized La8Nd4Sm structure, computed with PBE-GGA.

Results
Energy of formation   349 meV per atom
Total DFT energy (no corrections)   -58.67 eV per cell
M_tot   0.00 Bohr magnetons per cell

POSCAR file:
```
La8Nd4Sm
1.0
5.9800 3.4525 3.9868
-5.9800 3.4525 3.9868
0.0000 -6.9051 3.9868
La Nd Sm
8 4 1
Direct
0.1685 0.1685 0.6729
0.1685 0.6729 0.1685
0.2392 0.2392 0.2392
0.3271 0.8315 0.8315
0.6729 0.1685 0.1685
0.7608 0.7608 0.7608
0.8315 0.3271 0.8315
0.8315 0.8315 0.3271
0.0000 0.0000 0.0000
0.0000 0.5000 0.5000
0.5000 0.0000 0.5000
0.5000 0.5000 0.0000
0.5000 0.5000 0.5000
```

Entry 19:
A geometry-optimized LaNd4Sm2 structure, computed with PBE-GGA.

Results
Energy of formation   68 meV per atom
Total DFT energy (no corrections)   -65.92 eV per cell
M_tot   0.00 Bohr magnetons per cell
Polymorph energy (0 for the lowest one)   0.0 meV/atom

POSCAR file:
```
LaNd4Sm2
1.0
6.6303 0.0000 0.0000
2.8911 8.3236 0.0000
1.0985 -0.1678 8.9420
La Nd Sm
2 8 4
Direct
0.0000 0.0000 0.0000
0.4399 0.1816 0.8703
0.0298 0.5469 0.0526
0.1520 0.2057 0.2730
0.1896 0.7539 0.3343
0.3974 0.6353 0.8083
0.5869 0.3957 0.1438
0.7093 0.0521 0.4047
0.8536 0.7800 0.7176
0.8784 0.3407 0.7389
0.2612 0.9819 0.6069
0.3211 0.4091 0.5322
0.5567 0.8424 0.0942
0.7302 0.6081 0.4257
```

Entry 20:
A geometry-optimized La2Nd2Sm5 structure, computed with PBE-GGA.

Results
Energy of formation   131 meV per atom
Total DFT energy (no corrections)   -41.80 eV per cell
M_tot   0.00 Bohr magnetons per cell
Polymorph energy (0 for the lowest one)   0.0 meV/atom

POSCAR file:
```
La2Nd2Sm5
1.0
8.9978 -1.7717 0.0000
8.9978 1.7717 0.0000
-1.4885 0.0000 9.9484
La Nd Sm
2 2 5
Direct
0.1634 0.1634 0.2224
0.8366 0.8366 0.7776
0.4955 0.4955 0.3129
0.5045 0.5045 0.6871
0.0000 0.0000 0.0000
0.1735 0.1735 0.8673
0.3300 0.3300 0.4604
0.6700 0.6700 0.5396
0.8265 0.8265 0.1327
```